## CsNa2YF (PBE)

Data for an optimized crystal structure of CsNa2YF.

```
data_CsNa2YF
_chemical_formula_sum 'Cs1 Na2 Y1 F1'
_cell_length_a 7.3467
_cell_length_b 7.3467
_cell_length_c 4.3333
_cell_angle_alpha 90.00
_cell_angle_beta 90.00
_cell_angle_gamma 90.00
_space_group_name_H-M_alt 'P 4/m m m'
_space_group_IT_number 123
_space_group_name_Hall '-P 4 2'
loop_
_atom_site_label
_atom_site_fract_x
_atom_site_fract_y
_atom_site_fract_z
Cs1 0.0000 0.0000 0.0000
Na1 0.0000 0.5000 0.5000
Y1 0.5000 0.5000 0.5000
F1 0.5000 0.5000 0.0000
```

Properties
* energy above the most stable polymorph in this dataset: 0.000 eV/atom
* size of the total moment: 0.00 μB per cell
* formation energy (no corrections): -731 meV/atom